An optimized crystal structure of Mn2IrBr, computed with PBE-GGA.

Geometry as CIF:
```
data_Mn2IrBr
_chemical_formula_sum 'Mn4 Ir2 Br2'
_space_group_name_H-M_alt 'C 1 2/m 1'
_space_group_IT_number 12
_cell_length_a 7.731
_cell_length_b 3.087
_cell_length_c 7.721
_cell_angle_alpha 90.00
_cell_angle_beta 119.09
_cell_angle_gamma 90.00
loop_
_space_group_symop_operation_xyz
'x,y,z'
'-x,-y,-z'
'-x,y,-z'
'x,-y,z'
'x+1/2,y+1/2,z'
'-x+1/2,-y+1/2,-z'
'-x+1/2,y+1/2,-z'
'x+1/2,-y+1/2,z'
loop_
_atom_site_label
_atom_site_type_symbol
_atom_site_fract_x
_atom_site_fract_y
_atom_site_fract_z
_atom_site_occupancy
Mn1 Mn 0.198 0.000 0.320 1
Ir1 Ir 0.000 0.000 0.500 1
Br1 Br 0.000 0.500 0.000 1
```

Formation energy (no corrections), meV/atom: 266
Energy, eV for the cell shown: -55.62